The following is a DFT calculation (GGA-PBE) of an optimized crystal structure of PbWI2N.

The space group is P4/mmm (No. 123) and the conventional cell measures 5.930, 5.930 and 3.853 Å, with angles of 90.00, 90.00 and 90.00 degrees. The distinct sites, in fractional coordinates, are Pb at (0.000, 0.000, 0.000), W at (0.500, 0.500, 0.500), I at (0.000, 0.500, 0.500) and N at (0.500, 0.500, 0.000).

Its formation energy without anion corrections is 0.3594 eV per atom. The calculation puts the excess energy over the best structure of this formula in the dataset at 0.000 eV/atom.

=====

The following is a DFT calculation (GGA-PBE) of an optimized crystal structure of CsAlPb.

The space group is P3m1 (No. 156) and the conventional cell measures 4.7823, 4.7823 and 6.3675 Å, with angles of 90.00, 90.00 and 120.00 degrees. The distinct sites, in fractional coordinates, are Cs at (0.0000, 0.0000, 0.0000), Al at (0.3333, 0.6667, 0.5020) and Pb at (0.6667, 0.3333, 0.4981).

For the formation energy, the calculation gives 0.003 eV/atom.

=====

The following is a DFT calculation (GGA-PBE) of an optimized crystal structure of Ce2PmAl2Ge2.

The space group is R-3m (No. 166, hexagonal axes) and the conventional cell measures 4.3790, 4.3790 and 28.0318 Å, with angles of 90.00, 90.00 and 120.00 degrees. The distinct sites, in fractional coordinates, are Ce at (0.0000, 0.0000, 0.1392), Pm at (0.0000, 0.0000, 0.0000), Al at (0.0000, 0.0000, 0.4086) and Ge at (0.0000, 0.0000, 0.2643).

For the formation energy, the calculation gives -0.400 eV/atom.

=====

The following is a DFT calculation (GGA-PBE) of an optimized crystal structure of SmMg2Al3Au6.

The space group is P4/mmm (No. 123) and the conventional cell measures 4.226, 4.226 and 14.248 Å, with angles of 90.00, 90.00 and 90.00 degrees. The distinct sites, in fractional coordinates, are Sm at (0.000, 0.000, 0.000), Mg at (0.000, 0.000, 0.341), Al at (0.500, 0.500, 0.089), Al at (0.500, 0.500, 0.500), Au at (0.000, 0.500, 0.189) and Au at (0.500, 0.500, 0.333).

For the formation energy, the calculation gives -0.406 eV/atom.

=====

Respective VASP energy values: -5.258; -2.765; -5.162; -3.639 eV per atom.